Entry 1:
An optimized crystal structure of Na2TiB2O6, computed with PBE.

The structure in POSCAR format:
```
Na2TiB2O6
1.0
4.309 -2.563 0.000
4.309 2.563 0.000
-2.853 0.000 5.332
Na Ti B O
2 1 2 6
Direct
0.199 0.199 0.144
0.801 0.801 0.856
0.000 0.000 0.500
0.429 0.429 0.713
0.571 0.571 0.287
0.246 0.711 0.249
0.253 0.253 0.642
0.289 0.754 0.751
0.711 0.246 0.249
0.747 0.747 0.358
0.754 0.289 0.751
```

Values from the calculation:
* E_form (uncorrected): -2466 meV per atom
* crystal system: monoclinic
* SG: C2/m, No. 12

Entry 2:
An optimized crystal structure of CeEuNiPt, computed with PBE.

The structure in POSCAR format:
```
CeEuNiPt
1.0
0.000 3.528 3.528
3.528 0.000 3.528
3.528 3.528 0.000
Ce Eu Ni Pt
1 1 1 1
Direct
0.000 0.000 0.000
0.500 0.500 0.500
0.250 0.250 0.250
0.750 0.750 0.750
```

Values from the calculation:
* crystal system: cubic
* SG: F-43m, No. 216
* energy of formation from the pure elements: -0.54 eV/atom

Entry 3:
An optimized crystal structure of FeTc, computed with PBE.

The structure in POSCAR format:
```
FeTc
1.0
0.000 3.971 4.549
2.970 0.000 4.549
2.970 3.971 0.000
Fe Tc
4 4
Direct
0.067 0.683 0.683
0.317 0.933 0.933
0.683 0.067 0.067
0.933 0.317 0.317
0.167 0.583 0.167
0.417 0.833 0.417
0.583 0.167 0.583
0.833 0.417 0.833
```

Values from the calculation:
* crystal system: orthorhombic
* SG: Fddd, No. 70
* energy of formation from the pure elements: 0.71 eV/atom

Entry 4:
An optimized crystal structure of SrLiIn4Pd2, computed with PBE.

The structure in POSCAR format:
```
SrLiIn4Pd2
1.0
2.317 1.337 9.872
-2.317 1.337 9.872
0.000 -2.675 9.872
Sr Li In Pd
1 1 4 2
Direct
0.000 0.000 0.000
0.500 0.500 0.500
0.131 0.131 0.131
0.404 0.404 0.404
0.596 0.596 0.596
0.869 0.869 0.869
0.228 0.228 0.228
0.772 0.772 0.772
```

Values from the calculation:
* crystal system: trigonal
* SG: R-3m, No. 166
* energy of formation from the pure elements: -0.47 eV/atom

Entry 5:
An optimized crystal structure of Ag2BiPd2, computed with PBE.

The structure in POSCAR format:
```
Ag2BiPd2
1.0
-1.960 1.960 6.648
1.960 -1.960 6.648
1.960 1.960 -6.648
Ag Bi Pd
2 1 2
Direct
0.105 0.105 0.000
0.895 0.895 0.000
0.500 0.500 0.000
0.250 0.750 0.500
0.750 0.250 0.500
```

Values from the calculation:
* E above lowest polymorph: 280 meV/atom
* crystal system: tetragonal
* SG: I4/mmm, No. 139
* energy of formation from the pure elements: 0.18 eV/atom

Entry 6:
An optimized crystal structure of Zn2HgIr, computed with PBE.

The structure in POSCAR format:
```
Zn2HgIr
1.0
1.459 -2.511 0.000
1.459 2.511 0.000
0.000 0.000 9.234
Zn Hg Ir
2 1 1
Direct
0.000 0.000 0.227
0.000 0.000 0.773
0.500 0.500 0.500
0.500 0.500 0.000
```

Values from the calculation:
* crystal system: orthorhombic
* SG: Cmmm, No. 65
* energy of formation from the pure elements: 0.14 eV/atom

Number 1: DFT total energy -7.34 eV/atom, size of the total moment 0.0 μB per cell. Number 2: DFT total energy -7.55 eV/atom, size of the total moment 7.9 μB per cell. Number 3: DFT total energy -8.70 eV/atom, size of the total moment 0.0 μB per cell. Number 4: DFT total energy -3.59 eV/atom, size of the total moment 0.0 μB per cell. Number 5: DFT total energy -3.82 eV/atom, size of the total moment 0.0 μB per cell. Number 6: DFT total energy -2.79 eV/atom, size of the total moment 0.0 μB per cell.